Entry from Alexandria: a relaxed structure of CsNb2VO8 (PBE+U).

- DOS(E_F): 0.000 states/eV/atom
- Uncorrected energy: -94.6 eV for the cell shown
- SG: P-3 (147)

The structure in POSCAR format:
```
CsNb2VO8
1.0
5.6964 0.0000 0.0000
-2.8482 4.9332 0.0000
0.0000 0.0000 8.5034
O Nb Cs V
8 2 1 1
Cartesian
0.0000 3.2888 7.6864 O
3.1923 3.4361 3.1529 O
4.2278 0.4505 3.1529 O
1.1245 1.0466 3.1529 O
2.8482 1.6444 0.8169 O
1.7237 3.8866 5.3505 O
-1.3796 4.4827 5.3505 O
-0.3441 1.4971 5.3505 O
0.0000 3.2888 5.9020 Nb
2.8482 1.6444 2.6013 Nb
0.0000 0.0000 0.0000 Cs
0.0000 0.0000 4.2517 V
```